*P*
Density functional theory data (PBE) for Co2OsBr after structural relaxation.

Lattice parameters (Å, degrees): 3.4309 3.4309 7.8855 109.18 109.18 47.28
Fractional positions:
Co 0.1820 0.1820 0.2927
Co 0.8180 0.8180 0.7073
Os 0.0000 0.0000 0.5000
Br 0.5000 0.5000 0.0000

Properties
**Total magnetic moment**: 0.000 μB per atom
**SG**: C2/m

*Q*
Density functional theory data (PBE) for Co2OsBr after structural relaxation.

Lattice parameters (Å, degrees): 3.0287 3.0287 6.4275 90.00 90.00 90.00
Fractional positions:
Co 0.0000 0.0000 0.0000
Co 0.5000 0.5000 0.2106
Os 0.0000 0.0000 0.3913
Br 0.5000 0.5000 0.7513

Properties
**Total magnetic moment**: 0.231 μB per atom
**SG**: P4mm

*R*
Density functional theory data (PBE) for Co2OsBr after structural relaxation.

Lattice parameters (Å, degrees): 4.2731 4.2731 4.2731 60.00 60.00 60.00
Fractional positions:
Co 0.0000 0.0000 0.0000
Co 0.2500 0.2500 0.2500
Os 0.5000 0.5000 0.5000
Br 0.7500 0.7500 0.7500

Properties
**Total magnetic moment**: 0.765 μB per atom
**SG**: F-43m

Pick the most stable structure from those above. Pick: *P*